Density functional theory data (PBE-GGA) for BaLiTa2 after structural relaxation.

Cell lengths 3.2274, 3.2274, 8.4584 Å; angles 90.00, 90.00, 90.00 degrees
Closest atoms and distances in Å follow each position.
Sites, in units of the cell vectors:
Ba 0.0000 0.0000 0.0000  4 Ba 3.23
Li 0.0000 0.0000 0.5000  8 Ta 2.68
Ta 0.5000 0.5000 0.3337  4 Li 2.68, 1 Ta 2.81
Ta 0.5000 0.5000 0.6663  4 Li 2.68, 1 Ta 2.81

Properties
Formation energy from the elements, eV/f.u.: 4.14
Space-group type: No. 123